# AcDyPtO6 GGA-PBE optimized geometry
# Spin magnetization = 0.1900 μB/atom
# Calculated volume = 15.89 Å³/atom
# Energy relative to the elements, uncorrected = -2025 meV per atom
data_AcDyPtO6
_cell_length_a 5.5772
_cell_length_b 5.5772
_cell_length_c 5.3080
_cell_angle_alpha 90.00
_cell_angle_beta 90.00
_cell_angle_gamma 120.00
_space_group_name_H-M_alt 'P 3 1 2'
_space_group_IT_number 149
loop_
_space_group_symop_operation_xyz
'x,y,z'
'-y,x-y,z'
'-x+y,-x,z'
'-y,-x,-z'
'-x+y,y,-z'
'x,x-y,-z'
loop_
_atom_site_label
_atom_site_type_symbol
_atom_site_fract_x
_atom_site_fract_y
_atom_site_fract_z
Ac1 Ac 0.0000 0.0000 0.0000
Dy1 Dy 0.3333 0.6667 0.5000
Pt1 Pt 0.6667 0.3333 0.5000
O1 O 0.3778 0.0364 0.7139